(1)
VASP calculation (GGA-PBE) on Sm2MgNi4Sn3 after structural relaxation.

As for the crystal system: tetragonal. The value obtained for the total energy is -50.9 eV per formula unit. The value obtained for the formation energy is -46 kJ per mole of atoms.

Structure (CIF):
```
data_Sm2MgNi4Sn3
_symmetry_space_group_name_H-M 'P 1'
_symmetry_Int_Tables_number 1
_symmetry_space_group_name_Hall 'P 1'
_cell_length_a 4.381
_cell_length_b 4.381
_cell_length_c 10.254
_cell_angle_alpha 90.00
_cell_angle_beta 90.00
_cell_angle_gamma 90.00
loop_
_atom_site_label
_atom_site_type_symbol
_atom_site_fract_x
_atom_site_fract_y
_atom_site_fract_z
Sm1 Sm 0.500 0.000 0.237
Sm2 Sm 0.000 0.500 0.763
Mg1 Mg 0.500 0.500 0.500
Ni1 Ni 0.500 0.500 0.000
Ni2 Ni 0.000 0.000 0.000
Ni3 Ni 0.500 0.000 0.631
Ni4 Ni 0.000 0.500 0.369
Sn1 Sn 0.000 0.000 0.500
Sn2 Sn 0.500 0.000 0.872
Sn3 Sn 0.000 0.500 0.128
```

---

(2)
VASP calculation (GGA-PBE) on SmTmMgNi after structural relaxation.

As for the crystal system: cubic. The value obtained for the total energy is -17.0 eV per formula unit. The value obtained for the formation energy is -10 kJ per mole of atoms.

Structure (CIF):
```
data_SmTmMgNi
_symmetry_space_group_name_H-M 'P 1'
_symmetry_Int_Tables_number 1
_symmetry_space_group_name_Hall 'P 1'
_cell_length_a 5.069
_cell_length_b 5.069
_cell_length_c 5.069
_cell_angle_alpha 60.00
_cell_angle_beta 60.00
_cell_angle_gamma 60.00
loop_
_atom_site_label
_atom_site_type_symbol
_atom_site_fract_x
_atom_site_fract_y
_atom_site_fract_z
Ni1 Ni 0.750 0.750 0.750
Mg1 Mg 0.250 0.250 0.250
Tm1 Tm 0.500 0.500 0.500
Sm1 Sm 0.000 0.000 0.000
```

---

(3)
VASP calculation (GGA-PBE) on Mg2NiSn2 after structural relaxation.

For the distance to the lowest polymorph of the same formula, the calculation gives 56 kJ/mol of formula units. As for the crystal system: tetragonal. The value obtained for the total energy is -17.3 eV per formula unit. The value obtained for the formation energy is -7 kJ per mole of atoms.

Structure (CIF):
```
data_Mg2NiSn2
_symmetry_space_group_name_H-M 'P 1'
_symmetry_Int_Tables_number 1
_symmetry_space_group_name_Hall 'P 1'
_cell_length_a 6.791
_cell_length_b 6.791
_cell_length_c 4.668
_cell_angle_alpha 90.00
_cell_angle_beta 90.00
_cell_angle_gamma 90.00
loop_
_atom_site_label
_atom_site_type_symbol
_atom_site_fract_x
_atom_site_fract_y
_atom_site_fract_z
Ni1 Ni 0.000 0.000 0.000
Ni2 Ni 0.500 0.500 0.000
Mg1 Mg 0.165 0.665 0.500
Mg2 Mg 0.665 0.835 0.500
Mg3 Mg 0.835 0.335 0.500
Mg4 Mg 0.335 0.165 0.500
Sn1 Sn 0.346 0.846 0.000
Sn2 Sn 0.846 0.654 0.000
Sn3 Sn 0.654 0.154 0.000
Sn4 Sn 0.154 0.346 0.000
```

---

(4)
VASP calculation (GGA-PBE) on MgNi2Sn after structural relaxation.

For the distance to the lowest polymorph of the same formula, the calculation gives 19 kJ/mol of formula units. As for the crystal system: tetragonal. The value obtained for the total energy is -18.1 eV per formula unit. The value obtained for the formation energy is -22 kJ per mole of atoms.

Structure (CIF):
```
data_MgNi2Sn
_symmetry_space_group_name_H-M 'P 1'
_symmetry_Int_Tables_number 1
_symmetry_space_group_name_Hall 'P 1'
_cell_length_a 3.287
_cell_length_b 4.253
_cell_length_c 4.253
_cell_angle_alpha 90.00
_cell_angle_beta 90.00
_cell_angle_gamma 90.00
loop_
_atom_site_label
_atom_site_type_symbol
_atom_site_fract_x
_atom_site_fract_y
_atom_site_fract_z
Ni1 Ni 0.000 0.000 0.500
Ni2 Ni 0.000 0.500 0.000
Mg1 Mg 0.500 0.500 0.500
Sn1 Sn 0.500 0.000 0.000
```

---

(5)
VASP calculation (GGA-PBE) on Mg2Ni2Sn after structural relaxation.

As for the crystal system: tetragonal. The value obtained for the total energy is -19.7 eV per formula unit. The value obtained for the formation energy is -19 kJ per mole of atoms.

Structure (CIF):
```
data_Mg2Ni2Sn
_symmetry_space_group_name_H-M 'P 1'
_symmetry_Int_Tables_number 1
_symmetry_space_group_name_Hall 'P 1'
_cell_length_a 6.599
_cell_length_b 6.599
_cell_length_c 3.872
_cell_angle_alpha 90.00
_cell_angle_beta 90.00
_cell_angle_gamma 90.00
loop_
_atom_site_label
_atom_site_type_symbol
_atom_site_fract_x
_atom_site_fract_y
_atom_site_fract_z
Ni1 Ni 0.368 0.868 0.000
Ni2 Ni 0.868 0.632 0.000
Ni3 Ni 0.632 0.132 0.000
Ni4 Ni 0.132 0.368 0.000
Mg1 Mg 0.161 0.661 0.500
Mg2 Mg 0.661 0.839 0.500
Mg3 Mg 0.839 0.339 0.500
Mg4 Mg 0.339 0.161 0.500
Sn1 Sn 0.000 0.000 0.000
Sn2 Sn 0.500 0.500 0.000
```

---

(6)
VASP calculation (GGA-PBE) on MgNi3Sn3 after structural relaxation.

As for the crystal system: trigonal. The value obtained for the total energy is -32.3 eV per formula unit. The value obtained for the formation energy is -19 kJ per mole of atoms.

Structure (CIF):
```
data_MgNi3Sn3
_symmetry_space_group_name_H-M 'P 1'
_symmetry_Int_Tables_number 1
_symmetry_space_group_name_Hall 'P 1'
_cell_length_a 6.760
_cell_length_b 6.760
_cell_length_c 6.760
_cell_angle_alpha 69.10
_cell_angle_beta 69.10
_cell_angle_gamma 69.10
loop_
_atom_site_label
_atom_site_type_symbol
_atom_site_fract_x
_atom_site_fract_y
_atom_site_fract_z
Mg1 Mg 0.331 0.331 0.331
Mg2 Mg 0.669 0.669 0.669
Ni1 Ni 0.595 0.292 0.948
Ni2 Ni 0.292 0.948 0.595
Ni3 Ni 0.948 0.595 0.292
Ni4 Ni 0.052 0.405 0.708
Ni5 Ni 0.708 0.052 0.405
Ni6 Ni 0.405 0.708 0.052
Sn1 Sn 0.797 0.413 0.117
Sn2 Sn 0.117 0.797 0.413
Sn3 Sn 0.413 0.117 0.797
Sn4 Sn 0.587 0.883 0.203
Sn5 Sn 0.883 0.203 0.587
Sn6 Sn 0.203 0.587 0.883
```

---

(7)
VASP calculation (GGA-PBE) on Mg3Ni2Sn3 after structural relaxation.

For the distance to the lowest polymorph of the same formula, the calculation gives 9 kJ/mol of formula units. As for the crystal system: orthorhombic. The value obtained for the total energy is -29.9 eV per formula unit. The value obtained for the formation energy is -18 kJ per mole of atoms.

Structure (CIF):
```
data_Mg3Ni2Sn3
_symmetry_space_group_name_H-M 'P 1'
_symmetry_Int_Tables_number 1
_symmetry_space_group_name_Hall 'P 1'
_cell_length_a 5.451
_cell_length_b 7.184
_cell_length_c 16.413
_cell_angle_alpha 90.00
_cell_angle_beta 90.00
_cell_angle_gamma 90.00
loop_
_atom_site_label
_atom_site_type_symbol
_atom_site_fract_x
_atom_site_fract_y
_atom_site_fract_z
Mg1 Mg 0.095 0.478 0.381
Mg2 Mg 0.595 0.022 0.619
Mg3 Mg 0.905 0.522 0.881
Mg4 Mg 0.405 0.978 0.119
Mg5 Mg 0.905 0.522 0.619
Mg6 Mg 0.405 0.978 0.381
Mg7 Mg 0.095 0.478 0.119
Mg8 Mg 0.595 0.022 0.881
Mg9 Mg 0.661 0.329 0.250
Mg10 Mg 0.161 0.171 0.750
Mg11 Mg 0.339 0.671 0.750
Mg12 Mg 0.839 0.829 0.250
Ni1 Ni 0.926 0.124 0.384
Ni2 Ni 0.426 0.376 0.616
Ni3 Ni 0.074 0.876 0.884
Ni4 Ni 0.574 0.624 0.116
Ni5 Ni 0.074 0.876 0.616
Ni6 Ni 0.574 0.624 0.384
Ni7 Ni 0.926 0.124 0.116
Ni8 Ni 0.426 0.376 0.884
Sn1 Sn 0.156 0.174 0.250
Sn2 Sn 0.656 0.326 0.750
Sn3 Sn 0.844 0.826 0.750
Sn4 Sn 0.344 0.674 0.250
Sn5 Sn 0.612 0.318 0.465
Sn6 Sn 0.112 0.182 0.535
Sn7 Sn 0.388 0.682 0.965
Sn8 Sn 0.888 0.818 0.035
Sn9 Sn 0.388 0.682 0.535
Sn10 Sn 0.888 0.818 0.465
Sn11 Sn 0.612 0.318 0.035
Sn12 Sn 0.112 0.182 0.965
```

---

(8)
VASP calculation (GGA-PBE) on Mg8NiSn2 after structural relaxation.

As for the crystal system: monoclinic. The value obtained for the total energy is -27.8 eV per formula unit. The value obtained for the formation energy is -11 kJ per mole of atoms.

Structure (CIF):
```
data_Mg8NiSn2
_symmetry_space_group_name_H-M 'P 1'
_symmetry_Int_Tables_number 1
_symmetry_space_group_name_Hall 'P 1'
_cell_length_a 4.864
_cell_length_b 6.688
_cell_length_c 8.358
_cell_angle_alpha 112.86
_cell_angle_beta 106.92
_cell_angle_gamma 90.00
loop_
_atom_site_label
_atom_site_type_symbol
_atom_site_fract_x
_atom_site_fract_y
_atom_site_fract_z
Mg1 Mg 0.381 0.612 0.761
Mg2 Mg 0.635 0.893 0.270
Mg3 Mg 0.816 0.796 0.632
Mg4 Mg 0.994 0.218 0.989
Mg5 Mg 0.184 0.204 0.368
Mg6 Mg 0.365 0.107 0.730
Mg7 Mg 0.619 0.388 0.239
Mg8 Mg 0.006 0.782 0.011
Ni1 Ni 0.500 0.000 0.000
Sn1 Sn 0.819 0.320 0.639
Sn2 Sn 0.181 0.680 0.361
```

---

(9)
VASP calculation (GGA-PBE) on Mg4Ni2Sn3 after structural relaxation.

As for the crystal system: monoclinic. The value obtained for the total energy is -31.6 eV per formula unit. The value obtained for the formation energy is -17 kJ per mole of atoms.

Structure (CIF):
```
data_Mg4Ni2Sn3
_symmetry_space_group_name_H-M 'P 1'
_symmetry_Int_Tables_number 1
_symmetry_space_group_name_Hall 'P 1'
_cell_length_a 4.292
_cell_length_b 5.855
_cell_length_c 7.428
_cell_angle_alpha 93.25
_cell_angle_beta 106.79
_cell_angle_gamma 90.00
loop_
_atom_site_label
_atom_site_type_symbol
_atom_site_fract_x
_atom_site_fract_y
_atom_site_fract_z
Mg1 Mg 0.212 0.650 0.423
Mg2 Mg 0.788 0.350 0.577
Mg3 Mg 0.579 0.842 0.158
Mg4 Mg 0.421 0.158 0.842
Ni1 Ni 0.404 0.627 0.808
Ni2 Ni 0.596 0.373 0.192
Sn1 Sn 0.157 0.149 0.314
Sn2 Sn 0.843 0.851 0.686
Sn3 Sn 0.000 0.500 0.000
```

---

(10)
VASP calculation (GGA-PBE) on MgNi2Sn after structural relaxation.

For the distance to the lowest polymorph of the same formula, the calculation gives 0 kJ/mol of formula units. As for the crystal system: cubic. The value obtained for the total energy is -18.3 eV per formula unit. The value obtained for the formation energy is -27 kJ per mole of atoms.

Structure (CIF):
```
data_MgNi2Sn
_symmetry_space_group_name_H-M 'P 1'
_symmetry_Int_Tables_number 1
_symmetry_space_group_name_Hall 'P 1'
_cell_length_a 4.366
_cell_length_b 4.366
_cell_length_c 4.366
_cell_angle_alpha 60.00
_cell_angle_beta 60.00
_cell_angle_gamma 60.00
loop_
_atom_site_label
_atom_site_type_symbol
_atom_site_fract_x
_atom_site_fract_y
_atom_site_fract_z
Ni1 Ni 0.250 0.250 0.250
Ni2 Ni 0.750 0.750 0.750
Mg1 Mg 0.000 0.000 0.000
Sn1 Sn 0.500 0.500 0.500
```

---

(11)
VASP calculation (GGA-PBE) on Mg3Ni4Sn2 after structural relaxation.

As for the crystal system: trigonal. The value obtained for the total energy is -38.0 eV per formula unit. The value obtained for the formation energy is -22 kJ per mole of atoms.

Structure (CIF):
```
data_Mg3Ni4Sn2
_symmetry_space_group_name_H-M 'P 1'
_symmetry_Int_Tables_number 1
_symmetry_space_group_name_Hall 'P 1'
_cell_length_a 4.368
_cell_length_b 4.367
_cell_length_c 8.363
_cell_angle_alpha 90.04
_cell_angle_beta 90.00
_cell_angle_gamma 120.01
loop_
_atom_site_label
_atom_site_type_symbol
_atom_site_fract_x
_atom_site_fract_y
_atom_site_fract_z
Mg1 Mg 0.333 0.667 0.575
Mg2 Mg 0.000 0.000 0.000
Mg3 Mg 0.667 0.333 0.425
Ni1 Ni 0.667 0.333 0.112
Ni2 Ni 0.000 0.000 0.662
Ni3 Ni 0.000 0.000 0.338
Ni4 Ni 0.333 0.667 0.888
Sn1 Sn 0.333 0.666 0.208
Sn2 Sn 0.667 0.334 0.792
```

---

(12)
VASP calculation (GGA-PBE) on Mg11Ni4Sn9 after structural relaxation.

As for the crystal system: orthorhombic. The value obtained for the total energy is -81.0 eV per formula unit. The value obtained for the formation energy is -17 kJ per mole of atoms.

Structure (CIF):
```
data_Mg11Ni4Sn9
_symmetry_space_group_name_H-M 'P 1'
_symmetry_Int_Tables_number 1
_symmetry_space_group_name_Hall 'P 1'
_cell_length_a 4.160
_cell_length_b 11.353
_cell_length_c 11.353
_cell_angle_alpha 111.20
_cell_angle_beta 90.00
_cell_angle_gamma 90.00
loop_
_atom_site_label
_atom_site_type_symbol
_atom_site_fract_x
_atom_site_fract_y
_atom_site_fract_z
Mg1 Mg 0.000 0.582 0.907
Mg2 Mg 0.000 0.418 0.093
Mg3 Mg 0.000 0.907 0.582
Mg4 Mg 0.000 0.093 0.418
Mg5 Mg 0.000 0.623 0.377
Mg6 Mg 0.000 0.377 0.623
Mg7 Mg 0.000 0.831 0.169
Mg8 Mg 0.000 0.169 0.831
Mg9 Mg 0.000 0.000 0.000
Mg10 Mg 0.000 0.687 0.687
Mg11 Mg 0.000 0.313 0.313
Ni1 Ni 0.500 0.557 0.744
Ni2 Ni 0.500 0.443 0.256
Ni3 Ni 0.500 0.744 0.557
Ni4 Ni 0.500 0.256 0.443
Sn1 Sn 0.500 0.616 0.146
Sn2 Sn 0.500 0.384 0.854
Sn3 Sn 0.500 0.146 0.616
Sn4 Sn 0.500 0.854 0.384
Sn5 Sn 0.500 0.777 0.939
Sn6 Sn 0.500 0.223 0.061
Sn7 Sn 0.500 0.939 0.777
Sn8 Sn 0.500 0.061 0.223
Sn9 Sn 0.500 0.500 0.500
```

---

Record-wise total magnetization values, in μB/f.u.: 0.0; 0.0; 0.0; 0.0; 0.0; 0.0; 0.0; 0.0; 0.0; 0.0; 0.0; 0.0
Record-wise theoretical density values, in Mg/m³: 7.7; 7.3; 5.3; 7.3; 5.6; 7.1; 5.6; 3.4; 5.3; 7.3; 6.6; 5.2